(1)
AsOsS2N | GGA-PBEsol | relaxed Values from VASP.

Quantum ESPRESSO input file:
```
&SYSTEM
  ibrav = 0, nat = 5, ntyp = 4
/
ATOMIC_SPECIES
As 74.92 As.upf
Os 190.23 Os.upf
S 32.06 S.upf
N 14.01 N.upf
ATOMIC_POSITIONS crystal
As 0.0000 0.0000 0.0000
Os 0.5000 0.5000 0.5000
S 0.0000 0.0000 0.5000
S 0.0000 0.5000 0.0000
N 0.5000 0.0000 0.0000
CELL_PARAMETERS angstrom
-2.4816 1.9856 -1.1946
-2.6283 -1.0550 3.7064
1.7963 3.6338 2.3082
```

Properties
E_form (uncorrected) = 1.502 eV per atom


(2)
Zr3Zn | GGA-PBEsol | relaxed Values from VASP.

Quantum ESPRESSO input file:
```
&SYSTEM
  ibrav = 0, nat = 4, ntyp = 2
/
ATOMIC_SPECIES
Zn 65.41 Zn.upf
Zr 91.22 Zr.upf
ATOMIC_POSITIONS crystal
Zn 0.0000 0.0000 0.0000
Zr 0.7500 0.7500 0.7500
Zr 0.5000 0.5000 0.5000
Zr 0.2500 0.2500 0.2500
CELL_PARAMETERS angstrom
-4.7357 0.3614 0.7068
-2.9241 -3.5061 -1.4880
-2.1723 -2.8376 3.2072
```

Properties
DFT total energy = -7.22 eV per atom


(3)
MnCoN2 | GGA-PBEsol | relaxed Values from VASP.

Quantum ESPRESSO input file:
```
&SYSTEM
  ibrav = 0, nat = 4, ntyp = 3
/
ATOMIC_SPECIES
Mn 54.94 Mn.upf
Co 58.93 Co.upf
N 14.01 N.upf
ATOMIC_POSITIONS crystal
Mn 0.8140 0.8140 0.5581
Co 0.3088 0.3088 0.0736
N 0.9344 0.9344 0.1968
N 0.4383 0.4383 0.6851
CELL_PARAMETERS angstrom
-0.4707 -2.6972 -1.1755
2.2841 -1.5641 -1.1021
1.3167 -3.4328 3.5729
```

Properties
E_form (uncorrected) = -0.308 eV per atom


(4)
InReHg2 | GGA-PBEsol | relaxed Values from VASP.

Quantum ESPRESSO input file:
```
&SYSTEM
  ibrav = 0, nat = 4, ntyp = 3
/
ATOMIC_SPECIES
Hg 200.59 Hg.upf
In 114.82 In.upf
Re 186.21 Re.upf
ATOMIC_POSITIONS crystal
Hg 0.9931 0.9931 0.9862
Hg 0.7507 0.2507 0.5014
In 0.5091 0.5091 0.0182
Re 0.2472 0.7472 0.4943
CELL_PARAMETERS angstrom
3.7546 0.0000 0.0000
0.0000 4.3035 0.0000
-1.8773 -2.1518 4.6466
```

Properties
DFT total energy = -3.70 eV per atom


(5)
Re2TcPt | GGA-PBEsol | relaxed Values from VASP.

Quantum ESPRESSO input file:
```
&SYSTEM
  ibrav = 0, nat = 4, ntyp = 3
/
ATOMIC_SPECIES
Pt 195.08 Pt.upf
Re 186.21 Re.upf
Tc 98.00 Tc.upf
ATOMIC_POSITIONS crystal
Pt 0.5000 0.5000 0.7504
Re 0.0000 0.0000 0.0059
Re 0.5000 0.5000 0.2526
Tc 0.0000 0.0000 0.4911
CELL_PARAMETERS angstrom
-2.1039 -1.6257 0.6052
1.6031 -2.1855 -0.2979
1.8946 0.3600 7.5532
```

Properties
DFT total energy = -11.27 eV per atom


(6)
Si2AsOs | GGA-PBEsol | relaxed Values from VASP.

Quantum ESPRESSO input file:
```
&SYSTEM
  ibrav = 0, nat = 4, ntyp = 3
/
ATOMIC_SPECIES
As 74.92 As.upf
Os 190.23 Os.upf
Si 28.09 Si.upf
ATOMIC_POSITIONS crystal
As 0.6197 0.0000 0.2394
Os 0.8022 0.5000 0.6045
Si 0.9408 0.0000 0.8817
Si 0.1359 0.5000 0.2719
CELL_PARAMETERS angstrom
3.9677 0.0000 0.0000
0.0000 4.3384 0.0000
-1.9839 0.0000 3.9128
```

Properties
E_form (uncorrected) = -0.015 eV per atom


(7)
ScTePtN2 | GGA-PBEsol | relaxed Values from VASP.

Quantum ESPRESSO input file:
```
&SYSTEM
  ibrav = 0, nat = 5, ntyp = 4
/
ATOMIC_SPECIES
Sc 44.96 Sc.upf
Te 127.60 Te.upf
Pt 195.08 Pt.upf
N 14.01 N.upf
ATOMIC_POSITIONS crystal
Sc 0.5000 0.5000 0.5000
Te 0.0000 0.0000 0.5000
Pt 0.0000 0.0000 0.0000
N 0.0000 0.5000 0.0000
N 0.5000 0.0000 0.0000
CELL_PARAMETERS angstrom
-3.6717 -0.9688 0.3888
1.0218 -3.0444 2.0636
-0.3830 3.7450 5.7145
```

Properties
E_form (uncorrected) = 0.681 eV per atom


(8)
AlCdPt2 | GGA-PBEsol | relaxed Values from VASP.

Quantum ESPRESSO input file:
```
&SYSTEM
  ibrav = 0, nat = 8, ntyp = 3
/
ATOMIC_SPECIES
Al 26.98 Al.upf
Pt 195.08 Pt.upf
Cd 112.41 Cd.upf
ATOMIC_POSITIONS crystal
Al 0.5000 0.0000 0.0000
Al 0.2500 0.5000 0.5000
Pt 0.5887 0.0363 0.5363
Pt 0.1613 0.9637 0.4637
Pt 0.3750 0.4637 0.0363
Pt 0.8750 0.5363 0.9637
Cd 0.0000 0.0000 0.0000
Cd 0.7500 0.5000 0.5000
CELL_PARAMETERS angstrom
5.5150 0.0000 0.0000
2.7575 4.9613 0.0000
2.7575 0.0000 4.9613
```

Properties
DFT total energy = -5.13 eV per atom


(9)
Rh2O3 | GGA-PBEsol | relaxed Values from VASP.

Quantum ESPRESSO input file:
```
&SYSTEM
  ibrav = 0, nat = 10, ntyp = 2
/
ATOMIC_SPECIES
Rh 102.91 Rh.upf
O 16.00 O.upf
ATOMIC_POSITIONS crystal
Rh 0.8494 0.8494 0.4518
Rh 0.6506 0.6506 0.0482
Rh 0.1506 0.1506 0.5482
Rh 0.3494 0.3494 0.9518
O 0.4502 0.7500 0.7500
O 0.0498 0.4502 0.7500
O 0.7500 0.0498 0.7500
O 0.5498 0.2500 0.2500
O 0.9502 0.5498 0.2500
O 0.2500 0.9502 0.2500
CELL_PARAMETERS angstrom
-0.0607 0.9836 -5.0123
-4.4504 0.3091 -2.4885
-1.6869 4.9470 -1.6118
```

Properties
E_form (uncorrected) = -0.719 eV per atom


(10)
HfHgAs3 | GGA-PBEsol | relaxed Values from VASP.

Quantum ESPRESSO input file:
```
&SYSTEM
  ibrav = 0, nat = 5, ntyp = 3
/
ATOMIC_SPECIES
As 74.92 As.upf
Hf 178.49 Hf.upf
Hg 200.59 Hg.upf
ATOMIC_POSITIONS crystal
As 0.0000 0.5000 0.0000
As 0.0000 0.0000 0.5000
As 0.5000 0.0000 0.0000
Hf 0.0000 0.0000 0.0000
Hg 0.5000 0.5000 0.5000
CELL_PARAMETERS angstrom
5.0801 0.0000 0.0000
0.0000 5.0801 0.0000
0.0000 0.0000 5.0801
```

Properties
DFT total energy = -5.02 eV per atom


(11)
LaScOs2 | GGA-PBEsol | relaxed Values from VASP.

Quantum ESPRESSO input file:
```
&SYSTEM
  ibrav = 0, nat = 4, ntyp = 3
/
ATOMIC_SPECIES
La 138.91 La.upf
Os 190.23 Os.upf
Sc 44.96 Sc.upf
ATOMIC_POSITIONS crystal
La 0.0000 0.5000 0.5000
Os 0.0000 0.0000 0.0000
Os 0.5000 0.0000 0.5000
Sc 0.5000 0.5000 0.0000
CELL_PARAMETERS angstrom
-1.8129 -1.4637 -2.2415
3.4084 -2.8820 -0.8748
-1.7299 -3.0813 3.4112
```

Properties
DFT total energy = -8.77 eV per atom


(12)
Mn3SnO8 | GGA-PBEsol | relaxed Values from VASP.

Quantum ESPRESSO input file:
```
&SYSTEM
  ibrav = 0, nat = 48, ntyp = 3
/
ATOMIC_SPECIES
Mn 54.94 Mn.upf
Sn 118.71 Sn.upf
O 16.00 O.upf
ATOMIC_POSITIONS crystal
Mn 0.1097 0.1403 0.6250
Mn 0.1250 0.3903 0.8597
Mn 0.1403 0.6250 0.1097
Mn 0.3597 0.3750 0.6097
Mn 0.3750 0.6097 0.3597
Mn 0.3903 0.8597 0.1250
Mn 0.6097 0.3597 0.3750
Mn 0.6250 0.1097 0.1403
Mn 0.6403 0.8750 0.8903
Mn 0.8597 0.1250 0.3903
Mn 0.8750 0.8903 0.6403
Mn 0.8903 0.6403 0.8750
Sn 0.1250 0.8750 0.3750
Sn 0.3750 0.1250 0.8750
Sn 0.6250 0.6250 0.6250
Sn 0.8750 0.3750 0.1250
O 0.0900 0.1266 0.3960
O 0.1040 0.9100 0.6266
O 0.1195 0.6195 0.8805
O 0.1234 0.1600 0.8540
O 0.1266 0.3960 0.0900
O 0.1305 0.3695 0.6305
O 0.1460 0.6234 0.3400
O 0.1600 0.8540 0.1234
O 0.3400 0.1460 0.6234
O 0.3540 0.3766 0.8400
O 0.3695 0.6305 0.1305
O 0.3734 0.6040 0.5900
O 0.3766 0.8400 0.3540
O 0.3805 0.3805 0.3805
O 0.3960 0.0900 0.1266
O 0.4100 0.8734 0.8960
O 0.5900 0.3734 0.6040
O 0.6040 0.5900 0.3734
O 0.6195 0.8805 0.1195
O 0.6234 0.3400 0.1460
O 0.6266 0.1040 0.9100
O 0.6305 0.1305 0.3695
O 0.6460 0.8766 0.6600
O 0.6600 0.6460 0.8766
O 0.8400 0.3540 0.3766
O 0.8540 0.1234 0.1600
O 0.8695 0.8695 0.8695
O 0.8734 0.8960 0.4100
O 0.8766 0.6600 0.6460
O 0.8805 0.1195 0.6195
O 0.8960 0.4100 0.8734
O 0.9100 0.6266 0.1040
CELL_PARAMETERS angstrom
-4.8834 2.9570 5.9683
-6.5694 -0.9170 -4.9209
-1.0992 -7.6569 2.8943
```

Properties
E_form (uncorrected) = -1.536 eV per atom


(13)
BaCd3Ir | GGA-PBEsol | relaxed Values from VASP.

Quantum ESPRESSO input file:
```
&SYSTEM
  ibrav = 0, nat = 5, ntyp = 3
/
ATOMIC_SPECIES
Ir 192.22 Ir.upf
Ba 137.33 Ba.upf
Cd 112.41 Cd.upf
ATOMIC_POSITIONS crystal
Ir 0.0000 0.0000 0.0000
Ba 0.5000 0.5000 0.5000
Cd 0.0000 0.5000 0.0000
Cd 0.0000 0.0000 0.5000
Cd 0.5000 0.0000 0.0000
CELL_PARAMETERS angstrom
5.1791 0.0000 0.0000
0.0000 5.1791 0.0000
0.0000 0.0000 5.1791
```

Properties
DFT total energy = -3.22 eV per atom


(14)
Y2BiSb | GGA-PBEsol | relaxed Values from VASP.

Quantum ESPRESSO input file:
```
&SYSTEM
  ibrav = 0, nat = 8, ntyp = 3
/
ATOMIC_SPECIES
Y 88.91 Y.upf
Sb 121.76 Sb.upf
Bi 208.98 Bi.upf
ATOMIC_POSITIONS crystal
Y 0.3809 0.8750 0.2500
Y 0.8691 0.3750 0.2500
Y 0.1250 0.1309 0.7500
Y 0.6250 0.6191 0.7500
Sb 0.7500 0.2500 0.5000
Sb 0.5000 0.5000 0.0000
Bi 0.2500 0.7500 0.5000
Bi 0.0000 0.0000 0.0000
CELL_PARAMETERS angstrom
-2.9677 1.7779 -7.4477
-2.7542 -7.7008 -0.7409
-0.1229 3.8928 5.5056
```

Properties
E_form (uncorrected) = -0.735 eV per atom


(15)
LiSm2RuO6 | GGA-PBEsol | relaxed Values from VASP.

Quantum ESPRESSO input file:
```
&SYSTEM
  ibrav = 0, nat = 20, ntyp = 4
/
ATOMIC_SPECIES
Li 6.94 Li.upf
Sm 150.36 Sm.upf
Ru 101.07 Ru.upf
O 16.00 O.upf
ATOMIC_POSITIONS crystal
Li 0.5000 0.5000 0.0000
Li 0.0000 0.0000 0.5000
Sm 0.5192 0.9235 0.2489
Sm 0.4808 0.0765 0.7511
Sm 0.9808 0.4235 0.2511
Sm 0.0192 0.5765 0.7489
Ru 0.5000 0.5000 0.5000
Ru 0.0000 0.0000 0.0000
O 0.6780 0.2091 0.4455
O 0.3220 0.7909 0.5545
O 0.8220 0.7091 0.0545
O 0.1780 0.2909 0.9455
O 0.3978 0.5321 0.2541
O 0.6022 0.4679 0.7459
O 0.1022 0.0321 0.2459
O 0.8978 0.9679 0.7541
O 0.8007 0.6836 0.4508
O 0.1993 0.3164 0.5492
O 0.6993 0.1836 0.0492
O 0.3007 0.8164 0.9508
CELL_PARAMETERS angstrom
5.3018 0.0000 -0.0064
0.0000 5.7237 0.0000
-0.0774 0.0000 7.5653
```

Properties
E_form (uncorrected) = -2.469 eV per atom


(16)
MoAs3F | GGA-PBEsol | relaxed Values from VASP.

Quantum ESPRESSO input file:
```
&SYSTEM
  ibrav = 0, nat = 5, ntyp = 3
/
ATOMIC_SPECIES
Mo 95.94 Mo.upf
As 74.92 As.upf
F 19.00 F.upf
ATOMIC_POSITIONS crystal
Mo 0.0000 0.0000 0.0000
As 0.0000 0.5000 0.0000
As 0.0000 0.0000 0.5000
As 0.5000 0.0000 0.0000
F 0.5000 0.5000 0.5000
CELL_PARAMETERS angstrom
4.7573 0.0000 0.0000
0.0000 4.7573 0.0000
0.0000 0.0000 4.7573
```

Properties
E_form (uncorrected) = 0.105 eV per atom


(17)
RbBa2ZnCl | GGA-PBEsol | relaxed Values from VASP.

Quantum ESPRESSO input file:
```
&SYSTEM
  ibrav = 0, nat = 5, ntyp = 4
/
ATOMIC_SPECIES
Zn 65.41 Zn.upf
Ba 137.33 Ba.upf
Rb 85.47 Rb.upf
Cl 35.45 Cl.upf
ATOMIC_POSITIONS crystal
Zn 0.5000 0.5000 0.5000
Ba 0.0000 0.0000 0.5000
Ba 0.0000 0.5000 0.0000
Rb 0.0000 0.0000 0.0000
Cl 0.5000 0.0000 0.0000
CELL_PARAMETERS angstrom
5.5290 0.0000 0.0000
0.0000 6.9145 0.0000
0.0000 0.0000 6.9145
```

Properties
E_form (uncorrected) = 0.151 eV per atom


(18)
TiTcI3 | GGA-PBEsol | relaxed Values from VASP.

Quantum ESPRESSO input file:
```
&SYSTEM
  ibrav = 0, nat = 5, ntyp = 3
/
ATOMIC_SPECIES
I 126.90 I.upf
Tc 98.00 Tc.upf
Ti 47.87 Ti.upf
ATOMIC_POSITIONS crystal
I 0.0000 0.5000 0.0000
I 0.0000 0.0000 0.5000
I 0.5000 0.0000 0.0000
Tc 0.0000 0.0000 0.0000
Ti 0.5000 0.5000 0.5000
CELL_PARAMETERS angstrom
5.2889 0.0000 0.0000
0.0000 5.2889 0.0000
0.0000 0.0000 5.2889
```

Properties
E_form (uncorrected) = 0.841 eV per atom


(19)
ReHgAu | GGA-PBEsol | relaxed Values from VASP.

Quantum ESPRESSO input file:
```
&SYSTEM
  ibrav = 0, nat = 3, ntyp = 3
/
ATOMIC_SPECIES
Au 196.97 Au.upf
Hg 200.59 Hg.upf
Re 186.21 Re.upf
ATOMIC_POSITIONS crystal
Au 0.5000 0.5000 0.5000
Hg 0.2500 0.2500 0.2500
Re 0.0000 0.0000 0.0000
CELL_PARAMETERS angstrom
-2.2085 -2.3059 3.0267
-1.7007 -3.9238 -1.0329
1.7524 -3.6685 1.6813
```

Properties
DFT total energy = -4.49 eV per atom


(20)
LaZnW2 | GGA-PBEsol | relaxed Values from VASP.

Quantum ESPRESSO input file:
```
&SYSTEM
  ibrav = 0, nat = 4, ntyp = 3
/
ATOMIC_SPECIES
La 138.91 La.upf
W 183.84 W.upf
Zn 65.41 Zn.upf
ATOMIC_POSITIONS crystal
La 0.5000 0.5000 0.5000
W 0.0000 0.0000 0.8153
W 0.0000 0.0000 0.1847
Zn 0.5000 0.5000 0.0000
CELL_PARAMETERS angstrom
-1.0137 -1.1616 -2.2942
3.4532 0.9238 -1.9935
2.6381 -5.9146 1.8291
```

Properties
DFT total energy = -7.93 eV per atom


(21)
ReRu3 | GGA-PBEsol | relaxed Values from VASP.

Quantum ESPRESSO input file:
```
&SYSTEM
  ibrav = 0, nat = 16, ntyp = 2
/
ATOMIC_SPECIES
Re 186.21 Re.upf
Ru 101.07 Ru.upf
ATOMIC_POSITIONS crystal
Re 0.0000 0.0000 0.0000
Re 0.0000 0.0000 0.5000
Re 0.3333 0.6667 0.2500
Re 0.6667 0.3333 0.7500
Ru 0.0000 0.5000 0.0000
Ru 0.0000 0.5000 0.5000
Ru 0.1662 0.3323 0.7500
Ru 0.1662 0.8338 0.7500
Ru 0.3323 0.1662 0.2500
Ru 0.5000 0.0000 0.0000
Ru 0.5000 0.0000 0.5000
Ru 0.5000 0.5000 0.0000
Ru 0.5000 0.5000 0.5000
Ru 0.6677 0.8338 0.7500
Ru 0.8338 0.1662 0.2500
Ru 0.8338 0.6677 0.2500
CELL_PARAMETERS angstrom
-0.4679 -4.9227 2.1509
-0.2249 0.6373 -5.3499
8.5687 -1.0253 -0.4823
```

Properties
DFT total energy = -10.96 eV per atom


(22)
Re2NiHg | GGA-PBEsol | relaxed Values from VASP.

Quantum ESPRESSO input file:
```
&SYSTEM
  ibrav = 0, nat = 4, ntyp = 3
/
ATOMIC_SPECIES
Hg 200.59 Hg.upf
Ni 58.69 Ni.upf
Re 186.21 Re.upf
ATOMIC_POSITIONS crystal
Hg 0.5000 0.5000 0.5000
Ni 0.0000 0.0000 0.5000
Re 0.0000 0.5000 0.0000
Re 0.5000 0.0000 0.0000
CELL_PARAMETERS angstrom
3.7095 0.0000 0.0000
0.0000 3.7095 0.0000
0.0000 0.0000 4.2687
```

Properties
DFT total energy = -7.75 eV per atom


(23)
LaIrRu2 | GGA-PBEsol | relaxed Values from VASP.

Quantum ESPRESSO input file:
```
&SYSTEM
  ibrav = 0, nat = 4, ntyp = 3
/
ATOMIC_SPECIES
Ir 192.22 Ir.upf
La 138.91 La.upf
Ru 101.07 Ru.upf
ATOMIC_POSITIONS crystal
Ir 0.0000 0.0000 0.4448
La 0.5000 0.5000 0.7487
Ru 0.0000 0.0000 0.0627
Ru 0.5000 0.5000 0.2438
CELL_PARAMETERS angstrom
2.7883 0.0000 0.0000
0.0000 3.7385 0.0000
0.0000 0.0000 6.6602
```

Properties
DFT total energy = -8.70 eV per atom


(24)
MgMnZn | GGA-PBEsol | relaxed Values from VASP.

Quantum ESPRESSO input file:
```
&SYSTEM
  ibrav = 0, nat = 3, ntyp = 3
/
ATOMIC_SPECIES
Mg 24.30 Mg.upf
Mn 54.94 Mn.upf
Zn 65.41 Zn.upf
ATOMIC_POSITIONS crystal
Mg 0.0316 0.0000 0.0000
Mn 0.6210 0.6667 0.3333
Zn 0.3473 0.3333 0.6667
CELL_PARAMETERS angstrom
-0.1716 -2.0574 -1.8606
3.5389 -1.8628 1.7334
-3.9607 -1.0277 1.5017
```

Properties
DFT total energy = -4.12 eV per atom


(25)
ScAs2Pt | GGA-PBEsol | relaxed Values from VASP.

Quantum ESPRESSO input file:
```
&SYSTEM
  ibrav = 0, nat = 4, ntyp = 3
/
ATOMIC_SPECIES
As 74.92 As.upf
Pt 195.08 Pt.upf
Sc 44.96 Sc.upf
ATOMIC_POSITIONS crystal
As 0.0000 0.0000 0.9452
As 0.5000 0.5000 0.3087
Pt 0.0000 0.0000 0.4432
Sc 0.5000 0.5000 0.8029
CELL_PARAMETERS angstrom
3.5951 0.0000 0.0000
0.0000 3.5951 0.0000
0.0000 0.0000 5.4385
```

Properties
DFT total energy = -6.67 eV per atom